(1)
Al2TlZnIr | PBE | relaxed

Values from the calculation:
magnetization = 0.0 Bohr magnetons per cell

a = 4.7895 Å, b = 5.3197 Å, c = 4.7895 Å
α = 90.00°, β = 90.00°, γ = 90.00°
Last column: nearest neighbours and their distance in Å.
Fractional coordinates of all 5 atoms:
1 Tl 0.0000 0.5000 0.0000  2 Ir 2.66
2 Ir 0.0000 0.0000 0.0000  4 Al 2.39, 2 Tl 2.66
3 Zn 0.5000 0.5000 0.5000  4 Tl 3.39, 8 Al 3.58
4 Al 0.0000 0.0000 0.5000  2 Ir 2.39
5 Al 0.5000 0.0000 0.0000  2 Ir 2.39

=====

(2)
Tm2AlIr3 | PBE | relaxed

Values from the calculation:
magnetization = 0.0 Bohr magnetons per cell

a = 5.1064 Å, b = 5.1064 Å, c = 5.1064 Å
α = 65.93°, β = 65.93°, γ = 65.93°
Last column: nearest neighbours and their distance in Å.
Fractional coordinates of all 6 atoms:
1 Tm 0.3721 0.3721 0.3721  9 Ir 2.93-3.17, 1 Tm 3.05, 3 Al 3.24
2 Tm 0.6279 0.6279 0.6279  9 Ir 2.93-3.17, 1 Tm 3.05, 3 Al 3.24
3 Al 0.0000 0.0000 0.0000  6 Ir 2.55
4 Ir 0.0000 0.0000 0.5000  2 Al 2.55, 4 Ir 2.78
5 Ir 0.5000 0.0000 0.0000  2 Al 2.55, 4 Ir 2.78
6 Ir 0.0000 0.5000 0.0000  2 Al 2.55, 4 Ir 2.78

=====

Number 1: formation enthalpy at 0 K 0.1 eV per formula unit. Number 2: formation enthalpy at 0 K -5.8 eV per formula unit.